No. 1
Here is a relaxed structure of PuMnTc from Alexandria via LeMat-Bulk. Energies are from PBE.

The value obtained for the formation energy is 0.21 eV/atom.

The space group is I4mm (No. 107) and the conventional cell measures 3.6034, 3.6034 and 7.7326 Å, with angles of 90.00, 90.00 and 90.00 degrees. The inequivalent atoms are Pu at (0.0000, 0.0000, 0.0000), Mn at (0.0000, 0.0000, 0.6971) and Tc at (0.0000, 0.0000, 0.3153).



No. 2
Here is a relaxed structure of CsNa2NpI8 from Alexandria via LeMat-Bulk. Energies are from PBE.

The value obtained for the raw formation energy is -11.55 eV per formula unit.

The space group is P-1 (No. 2) and the conventional cell measures 6.7673, 7.8369 and 10.8176 Å, with angles of 90.04, 90.19 and 91.22 degrees. The inequivalent atoms are Cs at (0.0000, 0.0000, 0.0000), Na at (0.4992, 0.5001, 0.7238), Np at (0.0000, 0.0000, 0.5000), I at (0.2454, 0.3267, 0.4993), I at (0.2466, 0.8459, 0.3000), I at (0.2486, 0.8478, 0.7008) and I at (0.2502, 0.4873, 0.9999).



No. 3
Here is a relaxed structure of ZnMo2Se from Alexandria via LeMat-Bulk. Energies are from PBE.

The value obtained for the raw formation energy is 1.54 eV per formula unit.

The space group is F-43m (No. 216) and the conventional cell measures 6.3623, 6.3623 and 6.3623 Å, with angles of 90.00, 90.00 and 90.00 degrees. The inequivalent atoms are Zn at (0.0000, 0.0000, 0.0000), Mo at (0.0000, 0.0000, 0.5000), Mo at (0.2500, 0.2500, 0.2500) and Se at (0.2500, 0.2500, 0.7500).